Record 1
The following is a DFT calculation (PBE-GGA) of crystalline AlGa4Ag5 at its relaxed geometry.

Unit cell a=5.175 b=6.590 c=6.590 alpha=81.13 beta=66.88 gamma=66.88
Atoms (fractional coordinates):
Al: 0.190 0.000 0.000
Ga: 0.404 0.382 0.721
Ga: 0.785 0.721 0.618
Ga: 0.124 0.279 0.382
Ga: 0.506 0.618 0.279
Ag: 0.811 0.390 0.902
Ag: 0.201 0.902 0.610
Ag: 0.713 0.098 0.390
Ag: 0.103 0.610 0.098
Ag: 0.672 0.000 0.000

* ΔE_f: 0.085 eV per atom

=====

Record 2
The following is a DFT calculation (PBE-GGA) of crystalline HfHgGe3 at its relaxed geometry.

Unit cell a=5.220 b=5.220 c=5.220 alpha=90.00 beta=90.00 gamma=90.00
Atoms (fractional coordinates):
Ge: 0.000 0.500 0.000
Ge: 0.000 0.000 0.500
Ge: 0.500 0.000 0.000
Hf: 0.000 0.000 0.000
Hg: 0.500 0.500 0.500

* ΔE_f: 0.422 eV per atom
* energy above the most stable polymorph in this dataset: 0.0 kJ/mol of atoms

=====

Record 3
The following is a DFT calculation (PBE-GGA) of crystalline MnNi2Br at its relaxed geometry.

Unit cell a=3.174 b=3.174 c=6.413 alpha=90.00 beta=90.00 gamma=90.00
Atoms (fractional coordinates):
Br: 0.000 0.000 0.528
Mn: 0.500 0.500 0.791
Ni: 0.000 0.000 0.019
Ni: 0.500 0.500 0.163

* ΔE_f (raw): 0.297 eV per atom
* energy above the most stable polymorph in this dataset: 7.4 kJ/mol of atoms

=====

Record 4
The following is a DFT calculation (PBE-GGA) of crystalline TmMg2In2 at its relaxed geometry.

Unit cell a=5.085 b=5.085 c=12.020 alpha=90.00 beta=90.00 gamma=120.00
Atoms (fractional coordinates):
Tm: 0.000 0.000 0.250
Tm: 0.000 0.000 0.750
Mg: 0.333 0.667 0.606
Mg: 0.667 0.333 0.106
Mg: 0.667 0.333 0.394
Mg: 0.333 0.667 0.894
In: 0.667 0.333 0.750
In: 0.000 0.000 0.000
In: 0.000 0.000 0.500
In: 0.333 0.667 0.250

* ΔE_f: -0.062 eV per atom
* energy above the most stable polymorph in this dataset: 9.4 kJ/mol of atoms

=====

Record 5
The following is a DFT calculation (PBE-GGA) of crystalline PmNiAsN at its relaxed geometry.

Unit cell a=3.825 b=3.825 c=8.436 alpha=90.00 beta=90.00 gamma=90.00
Atoms (fractional coordinates):
Pm: 0.000 0.500 0.843
Pm: 0.500 0.000 0.157
Ni: 0.000 0.000 0.500
Ni: 0.500 0.500 0.500
As: 0.000 0.500 0.347
As: 0.500 0.000 0.653
N: 0.500 0.000 0.879
N: 0.000 0.500 0.121

* ΔE_f (raw): -0.826 eV per atom

=====

Record 6
The following is a DFT calculation (PBE-GGA) of crystalline AlCrCl2 at its relaxed geometry.

Unit cell a=3.097 b=3.316 c=8.623 alpha=89.74 beta=90.00 gamma=90.00
Atoms (fractional coordinates):
Cr: 0.000 0.376 0.532
Al: 0.500 0.874 0.714
Cl: 0.000 0.872 0.917
Cl: 0.500 0.378 0.337

* ΔE_f (raw): -0.555 eV per atom
* energy above the most stable polymorph in this dataset: 0.0 kJ/mol of atoms

=====

Record 7
The following is a DFT calculation (PBE-GGA) of crystalline InNi2AgMo at its relaxed geometry.

Unit cell a=4.505 b=5.245 c=4.505 alpha=90.00 beta=90.00 gamma=90.00
Atoms (fractional coordinates):
Ni: 0.000 0.000 0.500
Ni: 0.500 0.000 0.000
Mo: 0.000 0.000 0.000
Ag: 0.000 0.500 0.000
In: 0.500 0.500 0.500

* ΔE_f: 1.215 eV per atom

=====

Record 8
The following is a DFT calculation (PBE-GGA) of crystalline Er2NiBPt6 at its relaxed geometry.

Unit cell a=5.555 b=7.283 c=7.284 alpha=44.83 beta=67.59 gamma=90.00
Atoms (fractional coordinates):
Er: 0.706 0.294 0.589
Er: 0.294 0.706 0.411
Ni: 0.000 0.000 0.000
B: 0.500 0.500 0.000
Pt: 0.262 0.224 0.476
Pt: 0.776 0.738 0.962
Pt: 0.262 0.738 0.962
Pt: 0.738 0.262 0.038
Pt: 0.224 0.262 0.038
Pt: 0.738 0.776 0.524

* ΔE_f: -0.788 eV per atom

=====

Record 9
The following is a DFT calculation (PBE-GGA) of crystalline TcBr2Cl at its relaxed geometry.

Unit cell a=3.581 b=7.112 c=7.114 alpha=42.22 beta=90.00 gamma=90.00
Atoms (fractional coordinates):
Tc: 0.500 0.752 0.752
Br: 0.000 0.888 0.888
Br: 0.500 0.233 0.233
Cl: 0.000 0.627 0.627

* ΔE_f (raw): -0.307 eV per atom
* energy above the most stable polymorph in this dataset: 2.6 kJ/mol of atoms

=====

Record 10
The following is a DFT calculation (PBE-GGA) of crystalline IrAu3 at its relaxed geometry.

Unit cell a=5.765 b=5.765 c=5.765 alpha=151.94 beta=128.97 gamma=59.25
Atoms (fractional coordinates):
Au: 0.990 0.990 0.000
Au: 0.250 0.750 0.500
Au: 0.510 0.510 0.000
Ir: 0.750 0.250 0.500

* ΔE_f: 0.306 eV per atom

=====

Record 11
The following is a DFT calculation (PBE-GGA) of crystalline Hf2TiAu2 at its relaxed geometry.

Unit cell a=4.143 b=4.143 c=6.952 alpha=72.66 beta=72.66 gamma=90.00
Atoms (fractional coordinates):
Hf: 0.750 0.250 0.500
Hf: 0.250 0.750 0.500
Au: 0.397 0.397 0.205
Au: 0.603 0.603 0.795
Ti: 0.000 0.000 0.000

* ΔE_f: 0.105 eV per atom
* energy above the most stable polymorph in this dataset: 39.3 kJ/mol of atoms

=====

What DOS at the Fermi energy values result from the calculations? In sequence: 3.85 2.44 2.66 2.43 1.27 0.43 6.58 7.81 1.58 2.60 6.30 states/eV/f.u..